Record 1
Sc3MnCd: relaxed, PBE.

Cell lengths 5.264, 5.264, 5.264 Å; angles 90.00, 90.00, 90.00 degrees
Atoms (fractional coordinates):
Sc1 0.000 0.000 0.500
Sc2 0.000 0.500 0.000
Sc3 0.500 0.000 0.000
Mn1 0.500 0.500 0.500
Cd1 0.000 0.000 0.000

* spin magnetization: 3.88 μB per formula unit
* space-group type: Pm-3m, No. 221
* D(E_F): 7.934 states/eV/f.u.
* energy relative to the elements: 0.84 eV/atom

***

Record 2
ScMn2Cd: relaxed, PBE.

Cell lengths 4.886, 3.010, 5.137 Å; angles 90.00, 108.70, 90.00 degrees
Atoms (fractional coordinates):
Sc1 0.000 0.000 0.000
Mn1 0.500 0.000 0.500
Mn2 0.500 0.500 0.000
Cd1 0.000 0.500 0.500

* spin magnetization: 6.19 μB per formula unit
* space-group type: P2/m, No. 10
* D(E_F): 4.305 states/eV/f.u.
* energy relative to the elements: 0.27 eV/atom

***

Record 3
ScMnCd: relaxed, PBE.

Cell lengths 6.301, 6.301, 6.301 Å; angles 151.30, 151.30, 41.03 degrees
Atoms (fractional coordinates):
Sc1 0.000 0.000 0.000
Mn1 0.651 0.651 0.000
Cd1 0.308 0.308 0.000

* spin magnetization: 2.91 μB per formula unit
* space-group type: I4mm, No. 107
* D(E_F): 1.203 states/eV/f.u.
* energy relative to the elements: -0.01 eV/atom